1.
The following is a PBE+U calculation of a relaxed structure of PaBeFeO4, from Alexandria.

a = 5.776 Å, b = 6.068 Å, c = 6.068 Å
α = 69.82°, β = 61.58°, γ = 61.58°
Last column: magnetic moment on the atom in μB.
Fractional coordinates of all 14 atoms:
Pa  0.000  0.000  0.000  -0.37
Pa  0.000  0.500  0.500  -0.37
Be  0.627  0.623  0.123  0.00
Be  0.373  0.377  0.877  0.00
Fe  0.500  0.000  0.500  3.36
Fe  0.000  0.000  0.500  3.36
O  0.739  0.722  0.800  0.03
O  0.261  0.700  0.778  0.03
O  0.739  0.300  0.222  0.03
O  0.261  0.278  0.200  0.03
O  0.267  0.745  0.245  0.00
O  0.744  0.745  0.245  0.00
O  0.256  0.255  0.755  0.00
O  0.733  0.255  0.755  0.00

=====

2.
The following is a PBE+U calculation of a relaxed structure of PaBeFe2O6, from Alexandria.

a = 5.755 Å, b = 5.301 Å, c = 6.334 Å
α = 47.10°, β = 56.54°, γ = 61.91°
Last column: magnetic moment on the atom in μB.
Fractional coordinates of all 10 atoms:
Pa  0.849  0.881  0.439  0.04
Be  0.322  0.384  0.148  0.01
Fe  0.432  0.461  0.565  4.27
Fe  0.083  0.958  0.746  1.96
O  0.511  0.331  0.299  0.12
O  0.252  0.993  0.329  0.08
O  0.998  0.640  0.211  0.01
O  0.457  0.604  0.775  0.08
O  0.709  0.043  0.724  0.09
O  0.048  0.367  0.779  0.17

=====

In eV/atom, the electronic total energy values for the records above are, in order, -7.923, -7.595.